one.
# TbGaAu3

A relaxed structure of TbGaAu3 (GGA-PBE, the Alexandria database).

## Properties
As for the density of states at the Fermi level: 4.8 states/eV/cell. The symmetry is P2_1/m (11).

a = 5.527 Å, b = 5.939 Å, c = 6.192 Å
α = 90.00°, β = 97.22°, γ = 90.00°
Fractional positions:
Tb (0.188, 0.250, 0.183)
Tb (0.812, 0.750, 0.817)
Ga (0.079, 0.750, 0.349)
Ga (0.921, 0.250, 0.651)
Au (0.316, 0.002, 0.650)
Au (0.316, 0.498, 0.650)
Au (0.339, 0.750, 0.044)
Au (0.661, 0.250, 0.956)
Au (0.684, 0.502, 0.350)
Au (0.684, 0.998, 0.350)

=====

two.
# TbGaAu3

A relaxed structure of TbGaAu3 (GGA-PBE, the Alexandria database).

## Properties
As for the density of states at the Fermi level: 10.6 states/eV/cell. The symmetry is Pnma (62).

a = 9.072 Å, b = 4.775 Å, c = 9.268 Å
α = 90.00°, β = 90.00°, γ = 90.00°
Fractional positions:
Tb (0.236, 0.250, 0.003)
Tb (0.264, 0.750, 0.503)
Tb (0.736, 0.250, 0.497)
Tb (0.764, 0.750, 0.997)
Ga (0.112, 0.250, 0.672)
Ga (0.388, 0.750, 0.172)
Ga (0.612, 0.250, 0.828)
Ga (0.888, 0.750, 0.328)
Au (0.073, 0.250, 0.395)
Au (0.104, 0.750, 0.157)
Au (0.109, 0.750, 0.845)
Au (0.391, 0.250, 0.345)
Au (0.396, 0.250, 0.657)
Au (0.427, 0.750, 0.895)
Au (0.573, 0.250, 0.105)
Au (0.604, 0.750, 0.343)
Au (0.609, 0.750, 0.655)
Au (0.891, 0.250, 0.155)
Au (0.896, 0.250, 0.843)
Au (0.927, 0.750, 0.605)

=====

Most stable structure, least stable structure: two, one.

=====

one.
# TbGa3Au2

A relaxed structure of TbGa3Au2 (GGA-PBE, the Alexandria database).

## Properties
As for the density of states at the Fermi level: 3.5 states/eV/cell. The symmetry is P2_1/m (11).

a = 6.229 Å, b = 6.189 Å, c = 6.290 Å
α = 90.00°, β = 98.09°, γ = 90.00°
Fractional positions:
Tb (0.152, 0.250, 0.148)
Tb (0.848, 0.750, 0.852)
Ga (0.076, 0.750, 0.361)
Ga (0.362, 0.750, 0.079)
Ga (0.495, 0.750, 0.493)
Ga (0.505, 0.250, 0.507)
Ga (0.638, 0.250, 0.921)
Ga (0.924, 0.250, 0.639)
Au (0.256, 0.502, 0.746)
Au (0.256, 0.998, 0.746)
Au (0.744, 0.002, 0.254)
Au (0.744, 0.498, 0.254)

=====

two.
# TbGa3Au2

A relaxed structure of TbGa3Au2 (GGA-PBE, the Alexandria database).

## Properties
As for the density of states at the Fermi level: 4.6 states/eV/cell. The symmetry is C2/m (12).

a = 8.460 Å, b = 8.460 Å, c = 7.615 Å
α = 116.54°, β = 116.54°, γ = 29.71°
Fractional positions:
Tb (0.127, 0.127, 0.156)
Tb (0.873, 0.873, 0.844)
Ga (0.040, 0.040, 0.680)
Ga (0.318, 0.318, 0.109)
Ga (0.338, 0.338, 0.523)
Ga (0.662, 0.662, 0.477)
Ga (0.682, 0.682, 0.891)
Ga (0.960, 0.960, 0.320)
Au (0.216, 0.216, 0.702)
Au (0.492, 0.492, 0.174)
Au (0.508, 0.508, 0.826)
Au (0.784, 0.784, 0.298)

=====

Most stable structure, least stable structure: two, one.